The following is a PBE+U calculation of a geometry-optimized Ca2MnPbO5 structure, from the Alexandria database.

raw total energy = -6.3601 eV per atom
space-group type = Cmc2_1

Lattice parameters (Å, degrees): 3.371 6.562 12.361 90.00 90.00 104.88
Fractional positions:
Ca 0.941 0.882 0.158
Ca 0.059 0.118 0.658
Ca 0.174 0.347 0.260
Ca 0.826 0.653 0.760
O 0.237 0.473 0.665
O 0.744 0.488 0.927
O 0.106 0.212 0.049
O 0.592 0.184 0.536
O 0.256 0.512 0.427
O 0.408 0.816 0.036
O 0.894 0.788 0.549
O 0.763 0.527 0.165
O 0.530 0.061 0.266
O 0.470 0.939 0.766
Mn 0.259 0.518 0.030
Mn 0.741 0.482 0.530
Pb 0.444 0.888 0.432
Pb 0.556 0.112 0.932